Record 1
# ZrTi2TcN GGA-PBE optimized geometry
data_ZrTi2TcN
_space_group_name_H-M_alt 'P 4/m m m'
_space_group_IT_number 123
_space_group_name_Hall '-P 4 2'
_cell_length_a 4.0521
_cell_length_b 4.0521
_cell_length_c 4.5880
_cell_angle_alpha 90.00
_cell_angle_beta 90.00
_cell_angle_gamma 90.00
loop_
_atom_site_label
_atom_site_fract_x
_atom_site_fract_y
_atom_site_fract_z
Zr1 0.0000 0.0000 0.0000
Ti1 0.0000 0.5000 0.5000
Tc1 0.5000 0.5000 0.0000
N1 0.0000 0.0000 0.5000
# N(E_F): 4.89 states/eV/f.u.
# calculated volume: 15.07 Å³ per atom
# formation energy without anion corrections: -756 meV/atom
# total magnetic moment: 0.00 μB per cell



Record 2
# Ce2Zn5Ag GGA-PBE optimized geometry
data_Ce2Zn5Ag
_space_group_name_H-M_alt 'C m c m'
_space_group_IT_number 63
_space_group_name_Hall '-C 2c 2'
_cell_length_a 4.3576
_cell_length_b 16.4518
_cell_length_c 9.0519
_cell_angle_alpha 90.00
_cell_angle_beta 90.00
_cell_angle_gamma 90.00
loop_
_atom_site_label
_atom_site_fract_x
_atom_site_fract_y
_atom_site_fract_z
Ce1 0.0000 0.0000 0.0000
Ce2 0.0000 0.2031 0.2500
Zn1 0.0000 0.1866 0.6088
Zn2 0.0000 0.3453 0.5204
Zn3 0.0000 0.3968 0.2500
Ag1 0.0000 0.4449 0.7500
# N(E_F): 12.91 states/eV/f.u.
# ΔH_f (0 K): -1.9 eV/f.u.
# calculated volume: 20.28 Å³ per atom
# total magnetic moment: 5.10 μB per cell



Record 3
# TbTmGePt GGA-PBE optimized geometry
data_TbTmGePt
_space_group_name_H-M_alt 'F -4 3 m'
_space_group_IT_number 216
_space_group_name_Hall 'F -4 2 3'
_cell_length_a 7.0525
_cell_length_b 7.0525
_cell_length_c 7.0525
_cell_angle_alpha 90.00
_cell_angle_beta 90.00
_cell_angle_gamma 90.00
loop_
_atom_site_label
_atom_site_fract_x
_atom_site_fract_y
_atom_site_fract_z
Tb1 0.0000 0.0000 0.0000
Tm1 0.0000 0.0000 0.5000
Ge1 0.2500 0.2500 0.7500
Pt1 0.2500 0.2500 0.2500
# N(E_F): 1.05 states/eV/f.u.
# ΔH_f (0 K): -3.8 eV/f.u.
# calculated volume: 21.92 Å³ per atom
# total magnetic moment: 0.00 μB per cell



Record 4
# BaSi2Rh GGA-PBE optimized geometry
data_BaSi2Rh
_space_group_name_H-M_alt 'C 1 2/m 1'
_space_group_IT_number 12
_cell_length_a 5.7219
_cell_length_b 9.3637
_cell_length_c 3.1919
_cell_angle_alpha 90.00
_cell_angle_beta 91.17
_cell_angle_gamma 90.00
loop_
_space_group_symop_operation_xyz
'x,y,z'
'-x,-y,-z'
'-x,y,-z'
'x,-y,z'
'x+1/2,y+1/2,z'
'-x+1/2,-y+1/2,-z'
'-x+1/2,y+1/2,-z'
'x+1/2,-y+1/2,z'
loop_
_atom_site_label
_atom_site_fract_x
_atom_site_fract_y
_atom_site_fract_z
Ba1 0.0000 0.0000 0.0000
Si1 0.2500 0.2500 0.5000
Rh1 0.0000 0.5000 0.0000
# N(E_F): 2.58 states/eV/f.u.
# calculated volume: 21.37 Å³ per atom
# formation energy without anion corrections: 495 meV/atom
# total magnetic moment: 0.00 μB per cell



The highest calculated volume belongs to which entry? TbTmGePt